Record 1
Here is KCu2Hg2 after structural relaxation from Alexandria. Energies are from PBE-GGA.

a b c (Å): 4.536 4.536 6.698
angles (deg): 70.21 70.21 90.00
Element x y z (fractional)
Cu 0.250 0.750 0.500
Cu 0.750 0.250 0.500
Hg 0.629 0.629 0.742
Hg 0.371 0.371 0.258
K 0.000 0.000 0.000

excess energy over the best structure of this formula in the dataset	24	meV/atom
DFT formation energy	0.113	eV/atom
E	-9.3	eV/cell
size of the total moment	0.00	μB/f.u.
symmetry	I4/mmm (139)



Record 2
Here is Mg6U after structural relaxation from Alexandria. Energies are from PBE-GGA.

a b c (Å): 6.632 6.632 6.632
angles (deg): 109.47 109.47 109.47
Element x y z (fractional)
Mg 0.750 0.500 0.250
Mg 0.500 0.750 0.250
Mg 0.250 0.500 0.750
Mg 0.750 0.250 0.500
Mg 0.250 0.750 0.500
Mg 0.500 0.250 0.750
U 0.000 0.000 0.000

DFT formation energy	1.054	eV/atom
E	-13.5	eV/cell
size of the total moment	3.58	μB/f.u.
symmetry	Im-3m (229)



Record 3
Here is Ac2AgP after structural relaxation from Alexandria. Energies are from PBE-GGA.

a b c (Å): 4.364 4.364 8.338
angles (deg): 74.83 74.83 60.00
Element x y z (fractional)
P 0.000 0.000 0.000
Ag 0.500 0.500 0.500
Ac 0.259 0.259 0.223
Ac 0.741 0.741 0.777

excess energy over the best structure of this formula in the dataset	3	meV/atom
DFT formation energy	-0.760	eV/atom
E	-19.5	eV/cell
size of the total moment	0.00	μB/f.u.
symmetry	R-3m (166)



Record 4
Here is La2TbSm after structural relaxation from Alexandria. Energies are from PBE-GGA.

a b c (Å): 3.700 3.700 10.199
angles (deg): 90.00 90.00 90.00
Element x y z (fractional)
La 0.000 0.000 0.752
La 0.000 0.000 0.248
Tb 0.500 0.500 0.000
Sm 0.500 0.500 0.500

excess energy over the best structure of this formula in the dataset	11	meV/atom
DFT formation energy	0.021	eV/atom
E	-19.1	eV/cell
size of the total moment	0.00	μB/f.u.
symmetry	P4/mmm (123)